A plane-wave DFT calculation with PBE-GGA was carried out for a geometry-optimized HfGaPt structure.

POSCAR file:
```
HfGaPt
1.0
0.000 3.105 3.105
3.105 0.000 3.105
3.105 3.105 0.000
Hf Ga Pt
1 1 1
Direct
0.000 0.000 0.000
0.500 0.500 0.500
0.750 0.750 0.750
```

Output
Formation energy = -826 meV per atom
E = -7.167 eV/atom

***

A plane-wave DFT calculation with PBE-GGA was carried out for a geometry-optimized Hf2Ga2Pt structure.

POSCAR file:
```
Hf2Ga2Pt
1.0
5.046 -2.058 0.000
5.046 2.058 0.000
-4.172 0.000 8.754
Hf Ga Pt
4 4 2
Direct
0.004 0.004 0.180
0.180 0.180 0.611
0.820 0.820 0.389
0.996 0.996 0.820
0.362 0.362 0.948
0.457 0.457 0.608
0.543 0.543 0.392
0.638 0.638 0.052
0.284 0.284 0.173
0.716 0.716 0.827
```

Output
Energy above the most stable polymorph in this dataset = 4.1 kJ per mole of atoms
Formation energy = -718 meV per atom
E = -7.119 eV/atom

***

A plane-wave DFT calculation with PBE-GGA was carried out for a geometry-optimized Hf5Ga2Pt structure.

POSCAR file:
```
Hf5Ga2Pt
1.0
-3.493 3.493 6.414
3.493 -3.493 6.414
3.493 3.493 -6.414
Hf Ga Pt
10 4 2
Direct
0.000 0.000 0.000
0.012 0.512 0.829
0.183 0.012 0.500
0.317 0.817 0.829
0.488 0.317 0.500
0.500 0.500 0.000
0.512 0.683 0.500
0.683 0.183 0.171
0.817 0.988 0.500
0.988 0.488 0.171
0.131 0.369 0.500
0.369 0.869 0.237
0.631 0.131 0.763
0.869 0.631 0.500
0.250 0.250 0.000
0.750 0.750 0.000
```

Output
Formation energy = -525 meV per atom
E = -8.258 eV/atom

***

A plane-wave DFT calculation with PBE-GGA was carried out for a geometry-optimized Hf4Ga3Pt structure.

POSCAR file:
```
Hf4Ga3Pt
1.0
3.810 0.000 0.000
0.000 3.895 0.000
0.000 0.000 10.219
Hf Ga Pt
4 3 1
Direct
0.000 0.000 0.000
0.000 0.500 0.287
0.500 0.000 0.504
0.500 0.500 0.795
0.000 0.000 0.728
0.000 0.500 0.567
0.500 0.500 0.063
0.500 0.000 0.239
```

Output
Formation energy = -640 meV per atom
E = -7.507 eV/atom

***

A plane-wave DFT calculation with PBE-GGA was carried out for a geometry-optimized HfGa2Pt2 structure.

POSCAR file:
```
HfGa2Pt2
1.0
-1.853 1.853 6.346
1.853 -1.853 6.346
1.853 1.853 -6.346
Hf Ga Pt
1 2 2
Direct
0.000 0.000 0.000
0.250 0.750 0.500
0.750 0.250 0.500
0.396 0.396 0.000
0.604 0.604 0.000
```

Output
Formation energy = -716 meV per atom
E = -6.334 eV/atom

***

A plane-wave DFT calculation with PBE-GGA was carried out for a geometry-optimized HfGaPt4 structure.

POSCAR file:
```
HfGaPt4
1.0
5.635 0.000 0.000
0.000 3.919 0.000
0.000 0.000 19.015
Hf Ga Pt
4 4 16
Direct
0.152 0.250 0.053
0.348 0.750 0.553
0.652 0.250 0.447
0.848 0.750 0.947
0.120 0.250 0.751
0.380 0.750 0.251
0.620 0.250 0.749
0.880 0.750 0.249
0.100 0.250 0.619
0.114 0.250 0.887
0.131 0.250 0.199
0.153 0.250 0.466
0.347 0.750 0.966
0.369 0.750 0.699
0.386 0.750 0.387
0.400 0.750 0.119
0.600 0.250 0.881
0.614 0.250 0.613
0.631 0.250 0.301
0.653 0.250 0.034
0.847 0.750 0.534
0.869 0.750 0.801
0.886 0.750 0.113
0.900 0.750 0.381
```

Output
Energy above the most stable polymorph in this dataset = 0.0 kJ per mole of atoms
Formation energy = -769 meV per atom
E = -6.960 eV/atom

***

- Which value of formation energy does entry 2 give?
  -718 meV per atom